Entry from the Alexandria database: an optimized crystal structure of Pm2YEr3 (PBE-GGA).

Properties
excess energy over the best structure of this formula in the dataset = 5 meV per atom
calculated formation energy = 0.1227 eV/atom
crystal system = monoclinic
Fermi-level density of states = 18.7 states/eV/cell
calculated total energy = -57.836 eV per cell

a = 3.4965 Å, b = 10.2114 Å, c = 11.7430 Å
α = 108.19°, β = 98.56°, γ = 90.00°
Element x y z (fractional)
Pm 0.6909 0.3714 0.3818
Pm 0.0682 0.1360 0.1365
Er 0.0698 0.7629 0.1396
Er 0.4414 0.5551 0.8827
Er 0.9302 0.2371 0.8604
Er 0.5586 0.4449 0.1173
Er 0.3054 0.2852 0.6108
Pm 0.3091 0.6286 0.6182
Pm 0.9318 0.8640 0.8635
Y 0.3119 0.9633 0.6238
Y 0.6881 0.0367 0.3762
Er 0.6946 0.7148 0.3892